Record 1
Entry from Alexandria via LeMat-Bulk: a relaxed structure of RbPb4Au2 (GGA-PBE).

abc: 9.5457 9.5457 4.7387
angles: 90.00 90.00 90.00
Closest atoms and distances in Å follow each position.
Space group P4_2/mnm (No. 136)
Asymmetric unit:
Rb1 0.0000 0.0000 0.0000 (multiplicity 2)  6 Au 3.76-3.82, 8 Pb 4.04
Pb1 0.0760 0.3341 0.5000 (multiplicity 8)  3 Au 3.01-3.13
Au1 0.2167 0.7833 0.5000 (multiplicity 4)  6 Pb 3.01-3.13

- Raw total energy: -3.33 eV per atom
- Relative energy among the computed polymorphs: 0.000 kcal/mol of atoms
- DFT formation energy: -0.1354 eV per atom

=====

Record 2
Entry from Alexandria via LeMat-Bulk: a relaxed structure of RbPb6Au3 (GGA-PBE).

abc: 8.7552 7.5428 9.9282
angles: 90.00 115.37 90.00
Closest atoms and distances in Å follow each position.
Space group P2_1/c (No. 14)
Asymmetric unit:
Rb1 0.0000 0.0000 0.0000 (multiplicity 2)  2 Au 3.45, 8 Pb 3.68-3.86
Pb1 0.1466 0.0612 0.6900 (multiplicity 4)  3 Au 3.00-3.33, 1 Pb 3.29
Pb2 0.2583 0.6841 0.8722 (multiplicity 4)  2 Au 3.04-3.08, 3 Pb 3.24-3.38
Pb3 0.4752 0.1297 0.2831 (multiplicity 4)  3 Au 3.03-3.10, 2 Pb 3.24-3.38
Au1 0.2858 0.1971 0.4807 (multiplicity 4)  1 Au 2.91, 5 Pb 3.00-3.18
Au2 0.5000 0.0000 0.0000 (multiplicity 2)  2 Au 2.91, 4 Pb 3.07-3.08

- Raw total energy: -3.34 eV per atom
- DFT formation energy: -0.0335 eV per atom